A plane-wave DFT calculation with PBE-GGA was carried out for a relaxed structure of Tb5Sc2Tl4.

Geometry as CIF:
```
data_Tb5Sc2Tl4
_space_group_name_H-M_alt 'P 1'
_space_group_IT_number 1
_cell_length_a 3.533
_cell_length_b 10.364
_cell_length_c 10.670
_cell_angle_alpha 119.06
_cell_angle_beta 99.53
_cell_angle_gamma 90.00
loop_
_space_group_symop_operation_xyz
'x,y,z'
loop_
_atom_site_label
_atom_site_type_symbol
_atom_site_fract_x
_atom_site_fract_y
_atom_site_fract_z
Tl1 Tl 0.000 0.258 0.000
Tl2 Tl 0.420 0.420 0.840
Tl3 Tl 0.000 0.742 0.000
Tl4 Tl 0.580 0.580 0.160
Sc1 Sc 0.177 0.177 0.354
Sc2 Sc 0.823 0.823 0.646
Tb1 Tb 0.812 0.142 0.624
Tb2 Tb 0.812 0.482 0.624
Tb3 Tb 0.188 0.518 0.376
Tb4 Tb 0.188 0.858 0.376
Tb5 Tb 0.500 0.000 0.000
```

***

A plane-wave DFT calculation with PBE-GGA was carried out for a relaxed structure of TbSc5Tl6.

Geometry as CIF:
```
data_TbSc5Tl6
_space_group_name_H-M_alt 'P 1'
_space_group_IT_number 1
_cell_length_a 5.146
_cell_length_b 8.923
_cell_length_c 8.923
_cell_angle_alpha 120.04
_cell_angle_beta 106.80
_cell_angle_gamma 106.80
loop_
_space_group_symop_operation_xyz
'x,y,z'
loop_
_atom_site_label
_atom_site_type_symbol
_atom_site_fract_x
_atom_site_fract_y
_atom_site_fract_z
Sc1 Sc 0.000 0.668 0.332
Sc2 Sc 0.500 0.500 0.500
Sc3 Sc 0.000 0.332 0.668
Sc4 Sc 0.500 0.836 0.164
Sc5 Sc 0.500 0.164 0.836
Tb1 Tb 0.000 0.000 0.000
Tl1 Tl 0.745 0.915 0.575
Tl2 Tl 0.761 0.261 0.261
Tl3 Tl 0.255 0.085 0.425
Tl4 Tl 0.239 0.739 0.739
Tl5 Tl 0.255 0.425 0.085
Tl6 Tl 0.745 0.575 0.915
```

***

A plane-wave DFT calculation with PBE-GGA was carried out for a relaxed structure of Tb3ScTl.

Geometry as CIF:
```
data_Tb3ScTl
_space_group_name_H-M_alt 'P 1'
_space_group_IT_number 1
_cell_length_a 3.560
_cell_length_b 8.238
_cell_length_c 11.216
_cell_angle_alpha 114.97
_cell_angle_beta 80.88
_cell_angle_gamma 102.48
loop_
_space_group_symop_operation_xyz
'x,y,z'
loop_
_atom_site_label
_atom_site_type_symbol
_atom_site_fract_x
_atom_site_fract_y
_atom_site_fract_z
Tb1 Tb 0.644 0.815 0.527
Tb2 Tb 0.363 0.644 0.920
Tb3 Tb 0.074 0.985 0.839
Tb4 Tb 0.637 0.356 0.080
Tb5 Tb 0.926 0.015 0.161
Tb6 Tb 0.356 0.185 0.473
Tl1 Tl 0.756 0.263 0.752
Tl2 Tl 0.244 0.737 0.248
Sc1 Sc 0.043 0.440 0.353
Sc2 Sc 0.957 0.560 0.647
```

Computed properties:
Its distance to the lowest polymorph of the same formula is 0.00 kcal/mol of atoms.

***

A plane-wave DFT calculation with PBE-GGA was carried out for a relaxed structure of Tb2ScTl2.

Geometry as CIF:
```
data_Tb2ScTl2
_space_group_name_H-M_alt 'P 1'
_space_group_IT_number 1
_cell_length_a 4.614
_cell_length_b 6.123
_cell_length_c 6.123
_cell_angle_alpha 65.87
_cell_angle_beta 67.86
_cell_angle_gamma 67.86
loop_
_space_group_symop_operation_xyz
'x,y,z'
loop_
_atom_site_label
_atom_site_type_symbol
_atom_site_fract_x
_atom_site_fract_y
_atom_site_fract_z
Tl1 Tl 0.500 0.728 0.272
Tl2 Tl 0.500 0.272 0.728
Tb1 Tb 0.197 0.303 0.303
Tb2 Tb 0.803 0.697 0.697
Sc1 Sc 0.000 0.000 0.000
```

Computed properties:
Its distance to the lowest polymorph of the same formula is 0.92 kcal/mol of atoms.

***

A plane-wave DFT calculation with PBE-GGA was carried out for a relaxed structure of Tb2ScTl.

Geometry as CIF:
```
data_Tb2ScTl
_space_group_name_H-M_alt 'P 1'
_space_group_IT_number 1
_cell_length_a 5.380
_cell_length_b 5.380
_cell_length_c 5.380
_cell_angle_alpha 60.00
_cell_angle_beta 60.00
_cell_angle_gamma 60.00
loop_
_space_group_symop_operation_xyz
'x,y,z'
loop_
_atom_site_label
_atom_site_type_symbol
_atom_site_fract_x
_atom_site_fract_y
_atom_site_fract_z
Tb1 Tb 0.750 0.750 0.750
Tb2 Tb 0.250 0.250 0.250
Sc1 Sc 0.500 0.500 0.500
Tl1 Tl 0.000 0.000 0.000
```

Computed properties:
Its distance to the lowest polymorph of the same formula is 2.78 kcal/mol of atoms.

***

A plane-wave DFT calculation with PBE-GGA was carried out for a relaxed structure of Tb6Sc12Tl.

Geometry as CIF:
```
data_Tb6Sc12Tl
_space_group_name_H-M_alt 'P 1'
_space_group_IT_number 1
_cell_length_a 8.037
_cell_length_b 8.037
_cell_length_c 8.037
_cell_angle_alpha 93.36
_cell_angle_beta 93.36
_cell_angle_gamma 93.36
loop_
_space_group_symop_operation_xyz
'x,y,z'
loop_
_atom_site_label
_atom_site_type_symbol
_atom_site_fract_x
_atom_site_fract_y
_atom_site_fract_z
Sc1 Sc 0.944 0.858 0.631
Sc2 Sc 0.056 0.142 0.369
Sc3 Sc 0.465 0.532 0.215
Sc4 Sc 0.468 0.785 0.535
Sc5 Sc 0.215 0.465 0.532
Sc6 Sc 0.785 0.535 0.468
Sc7 Sc 0.535 0.468 0.785
Sc8 Sc 0.369 0.056 0.142
Sc9 Sc 0.858 0.631 0.944
Sc10 Sc 0.142 0.369 0.056
Sc11 Sc 0.532 0.215 0.465
Sc12 Sc 0.631 0.944 0.858
Tb1 Tb 0.714 0.883 0.265
Tb2 Tb 0.117 0.735 0.286
Tb3 Tb 0.735 0.286 0.117
Tb4 Tb 0.286 0.117 0.735
Tb5 Tb 0.883 0.265 0.714
Tb6 Tb 0.265 0.714 0.883
Tl1 Tl 0.000 0.000 0.000
```

***

A plane-wave DFT calculation with PBE-GGA was carried out for a relaxed structure of Tb2ScTl.

Geometry as CIF:
```
data_Tb2ScTl
_space_group_name_H-M_alt 'P 1'
_space_group_IT_number 1
_cell_length_a 5.281
_cell_length_b 6.534
_cell_length_c 6.619
_cell_angle_alpha 99.98
_cell_angle_beta 90.00
_cell_angle_gamma 90.00
loop_
_space_group_symop_operation_xyz
'x,y,z'
loop_
_atom_site_label
_atom_site_type_symbol
_atom_site_fract_x
_atom_site_fract_y
_atom_site_fract_z
Tl1 Tl 0.250 0.218 0.127
Tl2 Tl 0.750 0.782 0.873
Sc1 Sc 0.750 0.585 0.428
Sc2 Sc 0.250 0.415 0.572
Tb1 Tb 0.250 0.931 0.651
Tb2 Tb 0.250 0.700 0.133
Tb3 Tb 0.750 0.300 0.867
Tb4 Tb 0.750 0.069 0.349
```

Computed properties:
Its distance to the lowest polymorph of the same formula is 0.00 kcal/mol of atoms.

***

A plane-wave DFT calculation with PBE-GGA was carried out for a relaxed structure of Tb6Sc3Tl.

Geometry as CIF:
```
data_Tb6Sc3Tl
_space_group_name_H-M_alt 'P 1'
_space_group_IT_number 1
_cell_length_a 3.423
_cell_length_b 12.456
_cell_length_c 13.823
_cell_angle_alpha 100.44
_cell_angle_beta 90.00
_cell_angle_gamma 90.00
loop_
_space_group_symop_operation_xyz
'x,y,z'
loop_
_atom_site_label
_atom_site_type_symbol
_atom_site_fract_x
_atom_site_fract_y
_atom_site_fract_z
Tb1 Tb 0.250 0.223 0.283
Tb2 Tb 0.750 0.493 0.688
Tb3 Tb 0.750 0.344 0.115
Tb4 Tb 0.250 0.656 0.885
Tb5 Tb 0.250 0.257 0.696
Tb6 Tb 0.750 0.777 0.717
Tb7 Tb 0.750 0.743 0.304
Tb8 Tb 0.250 0.880 0.528
Tb9 Tb 0.750 0.120 0.472
Tb10 Tb 0.250 0.507 0.312
Tb11 Tb 0.250 0.189 0.922
Tb12 Tb 0.750 0.811 0.078
Tl1 Tl 0.250 0.966 0.278
Tl2 Tl 0.750 0.034 0.722
Sc1 Sc 0.250 0.373 0.498
Sc2 Sc 0.750 0.074 0.096
Sc3 Sc 0.250 0.577 0.096
Sc4 Sc 0.250 0.926 0.904
Sc5 Sc 0.750 0.627 0.502
Sc6 Sc 0.750 0.423 0.904
```

***

A plane-wave DFT calculation with PBE-GGA was carried out for a relaxed structure of TbSc4Tl2.

Geometry as CIF:
```
data_TbSc4Tl2
_space_group_name_H-M_alt 'P 1'
_space_group_IT_number 1
_cell_length_a 5.871
_cell_length_b 5.871
_cell_length_c 6.530
_cell_angle_alpha 104.95
_cell_angle_beta 104.95
_cell_angle_gamma 115.26
loop_
_space_group_symop_operation_xyz
'x,y,z'
loop_
_atom_site_label
_atom_site_type_symbol
_atom_site_fract_x
_atom_site_fract_y
_atom_site_fract_z
Tl1 Tl 0.641 0.641 0.283
Tl2 Tl 0.359 0.359 0.717
Sc1 Sc 0.750 0.250 0.500
Sc2 Sc 0.500 0.000 0.000
Sc3 Sc 0.000 0.500 0.000
Sc4 Sc 0.250 0.750 0.500
Tb1 Tb 0.000 0.000 0.000
```

Computed properties:
Its distance to the lowest polymorph of the same formula is 0.07 kcal/mol of atoms.

***

A plane-wave DFT calculation with PBE-GGA was carried out for a relaxed structure of TbSc4Tl2.

Geometry as CIF:
```
data_TbSc4Tl2
_space_group_name_H-M_alt 'P 1'
_space_group_IT_number 1
_cell_length_a 4.067
_cell_length_b 4.067
_cell_length_c 11.511
_cell_angle_alpha 100.17
_cell_angle_beta 100.17
_cell_angle_gamma 90.00
loop_
_space_group_symop_operation_xyz
'x,y,z'
loop_
_atom_site_label
_atom_site_type_symbol
_atom_site_fract_x
_atom_site_fract_y
_atom_site_fract_z
Sc1 Sc 0.861 0.861 0.723
Sc2 Sc 0.750 0.250 0.500
Sc3 Sc 0.139 0.139 0.277
Sc4 Sc 0.250 0.750 0.500
Tl1 Tl 0.414 0.414 0.828
Tl2 Tl 0.586 0.586 0.172
Tb1 Tb 0.000 0.000 0.000
```

Computed properties:
Its distance to the lowest polymorph of the same formula is 0.00 kcal/mol of atoms.

***

no.,ΔH_f (0 K) (meV per atom)
1,95
2,-266
3,-139
4,-252
5,-64
6,114
7,-185
8,28
9,130
10,127